Record 1
VASP calculation (PBE) on a relaxed Ho2ThPt crystal. Values from VASP.

The structure in Quantum ESPRESSO input format:
```
&SYSTEM
  ibrav = 0, nat = 4, ntyp = 3
/
ATOMIC_SPECIES
Ho 164.93 Ho.upf
Th 232.04 Th.upf
Pt 195.08 Pt.upf
ATOMIC_POSITIONS crystal
Ho 0.000 0.000 0.197
Ho 0.000 0.000 0.803
Th 0.500 0.500 0.500
Pt 0.500 0.500 0.000
CELL_PARAMETERS angstrom
3.536 0.000 0.000
0.000 3.536 0.000
0.000 0.000 8.398
```

Values from the calculation:
Energy relative to the elements = -0.604 eV per atom
Total moment = 0.000 μB per formula unit
Energy above the lowest structure with this stoichiometry = 55 meV/atom
Density of states at the Fermi level = 4.536 states/eV per cell
Total energy = -6.2583 eV/atom

Record 2
VASP calculation (PBE) on a relaxed ZnPPdI2 crystal. Values from VASP.

The structure in Quantum ESPRESSO input format:
```
&SYSTEM
  ibrav = 0, nat = 5, ntyp = 4
/
ATOMIC_SPECIES
Zn 65.41 Zn.upf
P 30.97 P.upf
Pd 106.42 Pd.upf
I 126.90 I.upf
ATOMIC_POSITIONS crystal
Zn 0.000 0.000 0.000
P 0.500 0.500 0.000
Pd 0.500 0.500 0.500
I 0.000 0.500 0.500
I 0.500 0.000 0.500
CELL_PARAMETERS angstrom
5.794 0.000 0.000
0.000 5.794 0.000
0.000 0.000 4.438
```

Values from the calculation:
Total moment = 0.000 μB per formula unit
Density of states at the Fermi level = 5.190 states/eV per cell
Total energy = -2.6159 eV/atom